#i
VASP calculation (GGA-PBE) on an optimized crystal structure of AcTb4Sm.

Structure (POSCAR):
```
AcTb4Sm
1.0
5.767 0.000 0.000
0.000 9.969 0.000
0.000 0.000 7.095
Ac Tb Sm
2 8 2
direct
0.250 0.250 0.000 Ac
0.750 0.750 0.000 Ac
0.248 0.583 0.257 Tb
0.248 0.917 0.743 Tb
0.252 0.583 0.743 Tb
0.252 0.917 0.257 Tb
0.748 0.083 0.743 Tb
0.748 0.417 0.257 Tb
0.752 0.083 0.257 Tb
0.752 0.417 0.743 Tb
0.250 0.250 0.500 Sm
0.750 0.750 0.500 Sm
```

- Symmetry: Pban
- Volume: 407.9 Å³ per cell

#ii
VASP calculation (GGA-PBE) on an optimized crystal structure of AcTb4Sm.

Structure (POSCAR):
```
AcTb4Sm
1.0
6.488 0.000 0.000
1.987 8.659 0.000
3.169 3.761 7.407
Ac Tb Sm
2 8 2
direct
0.059 0.254 0.326 Ac
0.941 0.746 0.674 Ac
0.263 0.308 0.884 Tb
0.290 0.503 0.426 Tb
0.331 0.679 0.917 Tb
0.483 0.898 0.381 Tb
0.517 0.102 0.619 Tb
0.669 0.321 0.083 Tb
0.710 0.497 0.574 Tb
0.737 0.692 0.116 Tb
0.075 0.902 0.188 Sm
0.925 0.098 0.812 Sm
```

- Symmetry: P-1
- Volume: 416.1 Å³ per cell

It comes down to #i, which is 3.9 kJ/mol of atoms more stable than the next structure.

#i
VASP calculation (GGA-PBE) on an optimized crystal structure of AcTb4Sm3.

Structure (POSCAR):
```
AcTb4Sm3
1.0
3.506 0.000 0.000
0.000 11.818 0.000
0.000 0.000 13.278
Ac Tb Sm
2 8 6
direct
0.000 0.000 0.000 Ac
0.500 0.500 0.500 Ac
0.000 0.254 0.136 Tb
0.000 0.254 0.864 Tb
0.000 0.746 0.136 Tb
0.000 0.746 0.864 Tb
0.500 0.246 0.364 Tb
0.500 0.246 0.636 Tb
0.500 0.754 0.364 Tb
0.500 0.754 0.636 Tb
0.000 0.000 0.500 Sm
0.000 0.500 0.257 Sm
0.000 0.500 0.743 Sm
0.500 0.000 0.243 Sm
0.500 0.000 0.757 Sm
0.500 0.500 0.000 Sm
```

- Symmetry: Immm
- Volume: 550.1 Å³ per cell

#ii
VASP calculation (GGA-PBE) on an optimized crystal structure of AcTb4Sm3.

Structure (POSCAR):
```
AcTb4Sm3
1.0
11.690 0.000 0.000
0.000 7.404 0.000
0.000 0.000 6.368
Ac Tb Sm
2 8 6
direct
0.000 0.126 0.000 Ac
0.500 0.874 0.500 Ac
0.000 0.382 0.491 Tb
0.000 0.623 0.991 Tb
0.247 0.621 0.658 Tb
0.253 0.379 0.158 Tb
0.500 0.377 0.491 Tb
0.500 0.618 0.991 Tb
0.747 0.379 0.158 Tb
0.753 0.621 0.658 Tb
0.000 0.868 0.493 Sm
0.248 0.129 0.656 Sm
0.252 0.871 0.156 Sm
0.500 0.132 0.993 Sm
0.748 0.871 0.156 Sm
0.752 0.129 0.656 Sm
```

- Symmetry: Pmn2_1
- Volume: 551.1 Å³ per cell

It comes down to #ii, which is 11.0 kJ/mol of atoms more stable than the next structure.

#i
VASP calculation (GGA-PBE) on an optimized crystal structure of AcTb12Sm7.

Structure (POSCAR):
```
AcTb12Sm7
1.0
6.066 3.502 5.367
-6.066 3.502 5.367
0.000 -7.004 5.367
Ac Tb Sm
1 12 7
direct
0.000 0.000 0.000 Ac
0.132 0.494 0.623 Tb
0.151 0.731 0.279 Tb
0.269 0.721 0.849 Tb
0.279 0.151 0.731 Tb
0.377 0.868 0.506 Tb
0.494 0.623 0.132 Tb
0.506 0.377 0.868 Tb
0.623 0.132 0.494 Tb
0.721 0.849 0.269 Tb
0.731 0.279 0.151 Tb
0.849 0.269 0.721 Tb
0.868 0.506 0.377 Tb
0.067 0.156 0.396 Sm
0.156 0.396 0.067 Sm
0.396 0.067 0.156 Sm
0.500 0.500 0.500 Sm
0.604 0.933 0.844 Sm
0.844 0.604 0.933 Sm
0.933 0.844 0.604 Sm
```

- Symmetry: R-3
- Volume: 684.0 Å³ per cell

#ii
VASP calculation (GGA-PBE) on an optimized crystal structure of AcTb12Sm7.

Structure (POSCAR):
```
AcTb12Sm7
1.0
-5.697 5.697 5.697
5.697 -5.697 5.697
5.697 5.697 -5.697
Ac Tb Sm
1 12 7
direct
0.000 0.000 0.000 Ac
0.000 0.256 0.744 Tb
0.000 0.744 0.256 Tb
0.256 0.000 0.744 Tb
0.256 0.256 0.511 Tb
0.256 0.511 0.256 Tb
0.256 0.744 0.000 Tb
0.489 0.744 0.744 Tb
0.511 0.256 0.256 Tb
0.744 0.000 0.256 Tb
0.744 0.256 0.000 Tb
0.744 0.489 0.744 Tb
0.744 0.744 0.489 Tb
0.000 0.000 0.500 Sm
0.000 0.500 0.000 Sm
0.000 0.500 0.500 Sm
0.500 0.000 0.000 Sm
0.500 0.000 0.500 Sm
0.500 0.500 0.000 Sm
0.500 0.500 0.500 Sm
```

- Symmetry: Im-3m
- Volume: 739.8 Å³ per cell

It comes down to #i, which is 37.3 kJ/mol of atoms more stable than the next structure.

#i
VASP calculation (GGA-PBE) on an optimized crystal structure of AcTbSm2.

Structure (POSCAR):
```
AcTbSm2
1.0
8.335 0.000 0.000
0.000 8.335 0.000
0.000 0.000 8.335
Ac Tb Sm
4 4 8
direct
0.000 0.000 0.000 Ac
0.000 0.500 0.500 Ac
0.500 0.000 0.500 Ac
0.500 0.500 0.000 Ac
0.000 0.000 0.500 Tb
0.000 0.500 0.000 Tb
0.500 0.000 0.000 Tb
0.500 0.500 0.500 Tb
0.250 0.250 0.250 Sm
0.250 0.250 0.750 Sm
0.250 0.750 0.250 Sm
0.250 0.750 0.750 Sm
0.750 0.250 0.250 Sm
0.750 0.250 0.750 Sm
0.750 0.750 0.250 Sm
0.750 0.750 0.750 Sm
```

- Symmetry: Fm-3m
- Volume: 579.1 Å³ per cell

#ii
VASP calculation (GGA-PBE) on an optimized crystal structure of AcTbSm2.

Structure (POSCAR):
```
AcTbSm2
1.0
3.722 0.000 0.000
-1.861 3.223 0.000
0.000 0.000 36.028
Ac Tb Sm
3 3 6
direct
0.000 0.000 0.000 Ac
0.333 0.667 0.667 Ac
0.667 0.333 0.333 Ac
0.000 0.000 0.834 Tb
0.333 0.667 0.500 Tb
0.667 0.333 0.167 Tb
0.000 0.000 0.246 Sm
0.000 0.000 0.421 Sm
0.333 0.667 0.087 Sm
0.333 0.667 0.913 Sm
0.667 0.333 0.580 Sm
0.667 0.333 0.754 Sm
```

- Symmetry: R3m
- Volume: 432.2 Å³ per cell

#iii
VASP calculation (GGA-PBE) on an optimized crystal structure of AcTbSm2.

Structure (POSCAR):
```
AcTbSm2
1.0
5.214 0.000 0.000
0.000 5.214 0.000
0.000 0.000 5.258
Ac Tb Sm
1 1 2
direct
0.000 0.000 0.000 Ac
0.500 0.500 0.000 Tb
0.000 0.500 0.500 Sm
0.500 0.000 0.500 Sm
```

- Symmetry: P4/mmm
- Volume: 143.0 Å³ per cell

It comes down to #iii, which is 0.9 kJ/mol of atoms more stable than the next structure.